# 1
The following is a PBE calculation of a relaxed structure of PmEuLuMg, from the Alexandria database.

## Properties
DOS(E_F) ... 0.74 states/eV per atom
Calculated total energy ... -5.23 eV per atom
Spin magnetization ... 7.1 μB per formula unit

The structure in POSCAR format:
```
PmEuLuMg
1.0
-5.236 1.029 1.759
-4.142 -3.579 -1.263
-2.287 -3.183 4.025
Eu Mg Lu Pm
1 1 1 1
Direct
0.250 0.250 0.250
0.000 0.000 0.000
0.500 0.500 0.500
0.750 0.750 0.750
```

# 2
The following is a PBE calculation of a relaxed structure of PrEuLuMg, from the Alexandria database.

## Properties
DOS(E_F) ... 0.79 states/eV per atom
Calculated total energy ... -5.25 eV per atom
Spin magnetization ... 7.1 μB per formula unit

The structure in POSCAR format:
```
PrEuLuMg
1.0
-0.836 2.077 -5.191
2.954 -2.037 -4.369
-2.571 -3.153 -3.926
Eu Pr Mg Lu
1 1 1 1
Direct
0.250 0.250 0.250
0.750 0.750 0.750
0.000 0.000 0.000
0.500 0.500 0.500
```

# 3
The following is a PBE calculation of a relaxed structure of EuLuPuMg, from the Alexandria database.

## Properties
DOS(E_F) ... 3.72 states/eV per atom
Calculated total energy ... -7.44 eV per atom
Spin magnetization ... 0.7 μB per formula unit

The structure in POSCAR format:
```
EuLuPuMg
1.0
5.527 0.000 0.000
2.764 4.787 0.000
2.764 1.596 4.513
Eu Mg Lu Pu
1 1 1 1
Direct
0.250 0.250 0.250
0.500 0.500 0.500
0.750 0.750 0.750
0.000 0.000 0.000
```